Entry 1:
Tb2GeSe5: optimized geometry, PBE.

Properties
ΔE_f (raw)	-1132	meV per atom
SG	Cmcm, No. 63

Unit cell a=7.6369 b=7.6369 c=12.7001 alpha=90.00 beta=90.00 gamma=135.88
Fractional positions:
Tb (0.1695, 0.8305, 0.5730)
Tb (0.1695, 0.8305, 0.9270)
Tb (0.8305, 0.1695, 0.0730)
Tb (0.8305, 0.1695, 0.4270)
Ge (0.1928, 0.8072, 0.2500)
Ge (0.8072, 0.1928, 0.7500)
Se (0.0296, 0.9704, 0.0928)
Se (0.0296, 0.9704, 0.4072)
Se (0.2869, 0.7131, 0.7500)
Se (0.3082, 0.6918, 0.0915)
Se (0.3082, 0.6918, 0.4085)
Se (0.6918, 0.3082, 0.5915)
Se (0.6918, 0.3082, 0.9085)
Se (0.7131, 0.2869, 0.2500)
Se (0.9704, 0.0296, 0.5928)
Se (0.9704, 0.0296, 0.9072)

=====

Entry 2:
Zn4Ag5Pb: optimized geometry, PBE.

Properties
SG	P4/mmm, No. 123
calculated formation energy	0.005	eV/atom

Unit cell a=3.2652 b=3.2652 c=16.7525 alpha=90.00 beta=90.00 gamma=90.00
Fractional positions:
Zn (0.0000, 0.0000, 0.0913)
Zn (0.0000, 0.0000, 0.2734)
Zn (0.0000, 0.0000, 0.7266)
Zn (0.0000, 0.0000, 0.9087)
Ag (0.5000, 0.5000, 0.0000)
Ag (0.5000, 0.5000, 0.1819)
Ag (0.5000, 0.5000, 0.3627)
Ag (0.5000, 0.5000, 0.6373)
Ag (0.5000, 0.5000, 0.8181)
Pb (0.0000, 0.0000, 0.5000)

=====

Entry 3:
HgSb2Pt: optimized geometry, PBE.

Properties
ΔE_f (raw)	-253	meV per atom
SG	R-3m, No. 166

Unit cell a=4.1089 b=4.1089 c=21.4479 alpha=90.00 beta=90.00 gamma=120.00
Fractional positions:
Hg (0.0000, 0.0000, 0.0000)
Hg (0.3333, 0.6667, 0.6667)
Hg (0.6667, 0.3333, 0.3333)
Sb (0.0000, 0.0000, 0.2278)
Sb (0.0000, 0.0000, 0.7722)
Sb (0.3333, 0.6667, 0.4389)
Sb (0.3333, 0.6667, 0.8944)
Sb (0.6667, 0.3333, 0.1056)
Sb (0.6667, 0.3333, 0.5611)
Pt (0.0000, 0.0000, 0.5000)
Pt (0.3333, 0.6667, 0.1667)
Pt (0.6667, 0.3333, 0.8333)

=====

Number 1: total moment 0.000 μB per atom, volume 32.23 Å³ per atom. Number 2: total moment 0.000 μB per atom, volume 17.86 Å³ per atom. Number 3: total moment 0.000 μB per atom, volume 26.13 Å³ per atom.